The following is a DFT calculation (PBE-GGA) of crystalline Er5Cd2Ru2Pt at its relaxed geometry.

Unit cell a=3.4638 b=11.6268 c=11.6268 alpha=90.00 beta=90.00 gamma=90.00
Last column: nearest neighbours and their distance in Å.
Positions (direct):
Cd  0.0000  0.8208  0.6792  1 Ru 3.07, 6 Er 3.42
Cd  0.0000  0.6792  0.1792  1 Ru 3.07, 6 Er 3.42
Cd  0.0000  0.1792  0.3208  1 Ru 3.07, 6 Er 3.42
Cd  0.0000  0.3208  0.8208  1 Ru 3.07, 6 Er 3.42
Ru  0.0000  0.6339  0.8661  6 Er 2.73-2.80
Ru  0.0000  0.8661  0.3661  6 Er 2.73-2.80
Ru  0.0000  0.1339  0.6339  6 Er 2.73-2.80
Ru  0.0000  0.3661  0.1339  6 Er 2.73-2.80
Pt  0.0000  0.5000  0.5000  8 Er 2.98
Pt  0.0000  0.0000  0.0000  8 Er 2.98
Er  0.5000  0.6972  0.4318  2 Ru 2.73, 2 Pt 2.98
Er  0.5000  0.1972  0.0682  2 Ru 2.73, 2 Pt 2.98
Er  0.5000  0.8028  0.9318  2 Ru 2.73, 2 Pt 2.98
Er  0.5000  0.3028  0.5682  2 Ru 2.73, 2 Pt 2.98
Er  0.5000  0.4318  0.3028  2 Ru 2.73, 2 Pt 2.98
Er  0.5000  0.5000  0.0000  4 Ru 2.80
Er  0.5000  0.9318  0.1972  2 Ru 2.73, 2 Pt 2.98
Er  0.5000  0.0682  0.8028  2 Ru 2.73, 2 Pt 2.98
Er  0.5000  0.0000  0.5000  4 Ru 2.80
Er  0.5000  0.5682  0.6972  2 Ru 2.73, 2 Pt 2.98

Values from the calculation:
N(E_F), states/eV/atom: 0.681
Space-group type: No. 127
DFT formation energy, kJ/mol of formula units: -456
E, eV/atom: -5.3963

---

The following is a DFT calculation (PBE-GGA) of crystalline Er4CdRu2Pt at its relaxed geometry.

Unit cell a=4.8969 b=4.8969 c=8.5138 alpha=73.29 beta=73.29 gamma=60.00
Last column: nearest neighbours and their distance in Å.
Positions (direct):
Er  0.8717  0.8717  0.3849  4 Ru 2.96-3.04, 3 Pt 2.97, 1 Cd 3.09
Er  0.6206  0.6206  0.1383  1 Pt 2.90, 4 Ru 2.96-3.09, 3 Cd 3.04
Er  0.3794  0.3794  0.8617  1 Pt 2.90, 4 Ru 2.96-3.09, 3 Cd 3.04
Er  0.1283  0.1283  0.6151  4 Ru 2.96-3.04, 3 Pt 2.97, 1 Cd 3.09
Ru  0.2513  0.2513  0.2462  8 Er 2.96-3.09
Ru  0.7487  0.7487  0.7538  8 Er 2.96-3.09
Pt  0.5000  0.5000  0.5000  8 Er 2.90-2.97
Cd  0.0000  0.0000  0.0000  8 Er 3.04-3.09

Values from the calculation:
N(E_F), states/eV/atom: 0.499
Space-group type: No. 166
DFT formation energy, kJ/mol of formula units: -463
E, eV/atom: -6.0699

---

The following is a DFT calculation (PBE-GGA) of crystalline SrErCdPt at its relaxed geometry.

Unit cell a=5.2098 b=5.2098 c=5.2098 alpha=60.00 beta=60.00 gamma=60.00
Last column: nearest neighbours and their distance in Å.
Positions (direct):
Sr  0.5000  0.5000  0.5000  4 Pt 3.19, 4 Cd 3.19
Pt  0.7500  0.7500  0.7500  4 Er 3.19, 4 Sr 3.19
Cd  0.2500  0.2500  0.2500  4 Sr 3.19, 4 Er 3.19
Er  0.0000  0.0000  0.0000  4 Pt 3.19, 4 Cd 3.19

Values from the calculation:
N(E_F), states/eV/atom: 0.713
Space-group type: No. 216
DFT formation energy, kJ/mol of formula units: -207
E, eV/atom: -3.8367

---

The following is a DFT calculation (PBE-GGA) of crystalline TbErCdPt at its relaxed geometry.

Unit cell a=5.0826 b=5.0826 c=5.0826 alpha=60.00 beta=60.00 gamma=60.00
Last column: nearest neighbours and their distance in Å.
Positions (direct):
Tb  0.2500  0.2500  0.2500  4 Cd 3.11, 4 Pt 3.11
Er  0.7500  0.7500  0.7500  4 Cd 3.11, 4 Pt 3.11
Cd  0.5000  0.5000  0.5000  4 Tb 3.11, 4 Er 3.11
Pt  0.0000  0.0000  0.0000  4 Tb 3.11, 4 Er 3.11

Values from the calculation:
N(E_F), states/eV/atom: 0.748
Space-group type: No. 216
DFT formation energy, kJ/mol of formula units: -282
E, eV/atom: -4.7673

---

The following is a DFT calculation (PBE-GGA) of crystalline ErTmCdPt at its relaxed geometry.

Unit cell a=5.0404 b=5.0404 c=5.0404 alpha=60.00 beta=60.00 gamma=60.00
Last column: nearest neighbours and their distance in Å.
Positions (direct):
Pt  0.7500  0.7500  0.7500  4 Tm 3.09, 4 Er 3.09
Cd  0.2500  0.2500  0.2500  4 Er 3.09, 4 Tm 3.09
Er  0.0000  0.0000  0.0000  4 Pt 3.09, 4 Cd 3.09
Tm  0.5000  0.5000  0.5000  4 Pt 3.09, 4 Cd 3.09

Values from the calculation:
N(E_F), states/eV/atom: 0.637
Space-group type: No. 216
DFT formation energy, kJ/mol of formula units: -292
E, eV/atom: -4.7534

---

The following is a DFT calculation (PBE-GGA) of crystalline YErCdPt at its relaxed geometry.

Unit cell a=5.0794 b=5.0794 c=5.0794 alpha=60.00 beta=60.00 gamma=60.00
Last column: nearest neighbours and their distance in Å.
Positions (direct):
Y  0.7500  0.7500  0.7500  4 Cd 3.11, 4 Pt 3.11
Er  0.2500  0.2500  0.2500  4 Pt 3.11, 4 Cd 3.11
Cd  0.0000  0.0000  0.0000  4 Er 3.11, 4 Y 3.11
Pt  0.5000  0.5000  0.5000  4 Y 3.11, 4 Er 3.11

Values from the calculation:
N(E_F), states/eV/atom: 0.758
Space-group type: No. 216
DFT formation energy, kJ/mol of formula units: -285
E, eV/atom: -5.2342

---

The following is a DFT calculation (PBE-GGA) of crystalline ErZrCdPt at its relaxed geometry.

Unit cell a=4.9491 b=4.9491 c=4.9491 alpha=60.00 beta=60.00 gamma=60.00
Last column: nearest neighbours and their distance in Å.
Positions (direct):
Pt  0.7500  0.7500  0.7500  4 Zr 3.03, 4 Er 3.03
Cd  0.2500  0.2500  0.2500  4 Zr 3.03, 4 Er 3.03
Zr  0.5000  0.5000  0.5000  4 Cd 3.03, 4 Pt 3.03
Er  0.0000  0.0000  0.0000  4 Cd 3.03, 4 Pt 3.03

Values from the calculation:
N(E_F), states/eV/atom: 1.141
Space-group type: No. 216
DFT formation energy, kJ/mol of formula units: -208
E, eV/atom: -5.5554

---

The following is a DFT calculation (PBE-GGA) of crystalline ErPuCd2 at its relaxed geometry.

Unit cell a=3.2572 b=3.2572 c=9.4513 alpha=90.00 beta=90.00 gamma=90.00
Last column: nearest neighbours and their distance in Å.
Positions (direct):
Cd  0.0000  0.0000  0.7575  4 Er 3.25, 4 Cd 3.26, 4 Pu 3.35
Cd  0.0000  0.0000  0.2425  4 Er 3.25, 4 Cd 3.26, 4 Pu 3.35
Pu  0.5000  0.5000  0.5000  4 Pu 3.26, 8 Cd 3.35
Er  0.5000  0.5000  0.0000  8 Cd 3.25, 4 Er 3.26

Values from the calculation:
Excess energy over the best structure of this formula in the dataset, meV per atom: 0
N(E_F), states/eV/atom: 1.956
Space-group type: No. 123
DFT formation energy, kJ/mol of formula units: -46
E, eV/atom: -5.3015